Crystalline Pm2MgTc at its relaxed geometry. Source: the Alexandria database, functional PBE.

The structure in POSCAR format:
```
Pm2MgTc
1.0
3.541 0.000 0.000
0.000 3.541 0.000
0.000 0.000 8.244
Pm Mg Tc
2 1 1
Cartesian
0.000 0.000 1.683
0.000 0.000 6.562
1.770 1.770 4.122
1.770 1.770 0.000
```

Values from the calculation:
Total magnetization ... 0.000 Bohr magnetons per cell
Energy above the most stable polymorph in this dataset ... 0.0 meV per atom
Energy of formation ... 0.019 eV per atom
SG ... P4/mmm, No. 123